[1]
NiHgAu2: relaxed, PBEsol.

a b c (Å): 4.890 4.890 4.765
angles (deg): 105.19 105.19 36.33
Element x y z (fractional)
Ni1 0.000 0.000 0.000
Hg1 0.738 0.738 0.234
Au1 0.268 0.268 0.763
Au2 0.505 0.505 0.511

Summary:
Total magnetization in μB/f.u.: 0.001
Calculated total energy in eV per atom: -3.52
ΔE_f in eV/atom: 0.1231
Density in Mg/m³: 16.7

=====

[2]
ScNi2HgAu: relaxed, PBEsol.

a b c (Å): 4.646 4.646 4.977
angles (deg): 90.00 90.00 90.00
Element x y z (fractional)
Sc1 0.000 0.000 0.000
Ni1 0.000 0.500 0.500
Ni2 0.500 0.000 0.500
Hg1 0.500 0.500 0.000
Au1 0.500 0.500 0.500

Summary:
Total magnetization in μB/f.u.: 0.439
Calculated total energy in eV per atom: -3.89
ΔE_f in eV/atom: 0.7951
Density in Mg/m³: 8.7

=====

[3]
Hg2OsAu: relaxed, PBEsol.

a b c (Å): 2.896 2.896 10.120
angles (deg): 90.00 90.00 121.66
Element x y z (fractional)
Hg1 0.000 0.000 0.000
Hg2 0.500 0.500 0.275
Os1 0.000 0.000 0.516
Au1 0.500 0.500 0.745

Summary:
Total magnetization in μB/f.u.: 0.006
Calculated total energy in eV per atom: -3.74
Distance to the lowest polymorph of the same formula in meV/atom: 0
ΔE_f in eV/atom: 0.5762
Density in Mg/m³: 18.1

=====

[4]
HgOsAu2: relaxed, PBEsol.

a b c (Å): 2.749 4.105 5.989
angles (deg): 90.00 90.00 90.00
Element x y z (fractional)
Hg1 0.000 0.000 0.000
Os1 0.000 0.000 0.500
Au1 0.500 0.500 0.268
Au2 0.500 0.500 0.732

Summary:
Total magnetization in μB/f.u.: 0.000
Calculated total energy in eV per atom: -4.59
ΔE_f in eV/atom: 0.5651
Density in Mg/m³: 19.3

=====

[5]
HgOs2Au: relaxed, PBEsol.

a b c (Å): 3.947 3.947 4.086
angles (deg): 90.00 90.00 90.00
Element x y z (fractional)
Hg1 0.000 0.000 0.000
Os1 0.000 0.500 0.500
Os2 0.500 0.000 0.500
Au1 0.500 0.500 0.000

Summary:
Total magnetization in μB/f.u.: 0.001
Calculated total energy in eV per atom: -6.25
ΔE_f in eV/atom: 0.9790
Density in Mg/m³: 20.3

=====

[6]
Hg2OsAu: relaxed, PBEsol.

a b c (Å): 4.961 4.961 4.961
angles (deg): 129.86 129.86 73.63
Element x y z (fractional)
Hg1 0.250 0.750 0.500
Hg2 0.750 0.250 0.500
Os1 0.000 0.000 0.000
Au1 0.500 0.500 0.000

Summary:
Total magnetization in μB/f.u.: 0.009
Calculated total energy in eV per atom: -3.60
Distance to the lowest polymorph of the same formula in meV/atom: 139
ΔE_f in eV/atom: 0.7149
Density in Mg/m³: 18.6